VASP calculation (PBE) on a geometry-optimized BCl3O structure.

- formation energy from raw total energies (kJ/mol of formula units) = 400

Unit cell a=4.351 b=4.351 c=4.351 alpha=90.00 beta=90.00 gamma=90.00
Atoms (fractional coordinates):
B1 0.000 0.000 0.000
Cl1 0.000 0.000 0.500
Cl2 0.000 0.500 0.000
Cl3 0.500 0.000 0.000
O1 0.500 0.500 0.500

---

VASP calculation (PBE) on a geometry-optimized BClO2 structure.

- formation energy from raw total energies (kJ/mol of formula units) = 738

Unit cell a=3.834 b=3.834 c=3.834 alpha=60.00 beta=60.00 gamma=60.00
Atoms (fractional coordinates):
B1 0.000 0.000 0.000
Cl1 0.500 0.500 0.500
O1 0.250 0.250 0.250
O2 0.750 0.750 0.750

---

VASP calculation (PBE) on a geometry-optimized B2ClO structure.

- formation energy from raw total energies (kJ/mol of formula units) = 289

Unit cell a=6.327 b=6.327 c=6.327 alpha=144.30 beta=144.30 gamma=51.38
Atoms (fractional coordinates):
B1 0.000 0.000 0.000
B2 0.000 0.000 0.500
B3 0.000 0.500 0.000
B4 0.500 0.000 0.500
Cl1 0.375 0.625 0.750
Cl2 0.625 0.375 0.250
O1 0.125 0.875 0.250
O2 0.875 0.125 0.750

---

VASP calculation (PBE) on a geometry-optimized BClO2 structure.

- formation energy from raw total energies (kJ/mol of formula units) = -117

Unit cell a=6.776 b=6.776 c=6.776 alpha=21.76 beta=21.76 gamma=21.76
Atoms (fractional coordinates):
B1 0.000 0.000 0.000
Cl1 0.500 0.500 0.500
O1 0.375 0.375 0.375
O2 0.625 0.625 0.625

---

VASP calculation (PBE) on a geometry-optimized BPbClO2 structure.

- formation energy from raw total energies (kJ/mol of formula units) = -780

Unit cell a=6.999 b=4.333 c=7.217 alpha=90.00 beta=93.41 gamma=90.00
Atoms (fractional coordinates):
B1 0.140 0.250 0.417
B2 0.860 0.750 0.583
Pb1 0.364 0.750 0.736
Pb2 0.636 0.250 0.264
Cl1 0.286 0.250 0.980
Cl2 0.714 0.750 0.020
O1 0.028 0.750 0.655
O2 0.312 0.250 0.489
O3 0.688 0.750 0.511
O4 0.972 0.250 0.345

---

VASP calculation (PBE) on a geometry-optimized B5Pb2ClO9 structure.

- formation energy from raw total energies (kJ/mol of formula units) = -3541

Unit cell a=11.539 b=11.567 c=6.642 alpha=90.00 beta=90.00 gamma=90.00
Atoms (fractional coordinates):
B1 0.005 0.249 0.000
B2 0.179 0.227 0.222
B3 0.203 0.314 0.872
B4 0.216 0.710 0.054
B5 0.234 0.538 0.832
B6 0.266 0.038 0.332
B7 0.284 0.210 0.554
B8 0.297 0.814 0.372
B9 0.321 0.727 0.722
B10 0.495 0.749 0.500
B11 0.505 0.251 0.500
B12 0.679 0.273 0.722
B13 0.703 0.186 0.372
B14 0.716 0.790 0.554
B15 0.734 0.962 0.332
B16 0.766 0.462 0.832
B17 0.784 0.290 0.054
B18 0.797 0.686 0.872
B19 0.821 0.773 0.222
B20 0.995 0.751 0.000
Pb1 0.036 0.746 0.523
Pb2 0.240 0.977 0.849
Pb3 0.260 0.477 0.349
Pb4 0.464 0.246 0.023
Pb5 0.536 0.754 0.023
Pb6 0.740 0.523 0.349
Pb7 0.760 0.023 0.849
Pb8 0.964 0.254 0.523
Cl1 0.000 0.000 0.650
Cl2 0.000 0.500 0.408
Cl3 0.500 0.000 0.908
Cl4 0.500 0.500 0.150
O1 0.052 0.218 0.183
O2 0.076 0.288 0.847
O3 0.111 0.763 0.961
O4 0.186 0.259 0.437
O5 0.211 0.580 0.022
O6 0.226 0.724 0.271
O7 0.228 0.425 0.775
O8 0.231 0.316 0.091
O9 0.235 0.114 0.181
O10 0.265 0.614 0.681
O11 0.269 0.816 0.591
O12 0.272 0.925 0.275
O13 0.274 0.224 0.771
O14 0.289 0.080 0.522
O15 0.314 0.759 0.937
O16 0.389 0.263 0.461
O17 0.424 0.788 0.347
O18 0.448 0.718 0.683
O19 0.552 0.282 0.683
O20 0.576 0.212 0.347
O21 0.611 0.737 0.461
O22 0.686 0.241 0.937
O23 0.711 0.920 0.522
O24 0.726 0.776 0.771
O25 0.728 0.075 0.275
O26 0.731 0.184 0.591
O27 0.735 0.386 0.681
O28 0.765 0.886 0.181
O29 0.769 0.684 0.091
O30 0.772 0.575 0.775
O31 0.774 0.276 0.271
O32 0.789 0.420 0.022
O33 0.814 0.741 0.437
O34 0.889 0.237 0.961
O35 0.924 0.712 0.847
O36 0.948 0.782 0.183